[1]
VASP calculation (PBE) on a relaxed PaMn4Cr crystal.

Geometry as POSCAR:
```
PaMn4Cr
1.0
0.0000 3.4740 3.4740
3.4740 0.0000 3.4740
3.4740 3.4740 0.0000
Pa Mn Cr
1 4 1
direct
0.0000 0.0000 0.0000
0.3768 0.3768 0.3768
0.3768 0.3768 0.8696
0.3768 0.8696 0.3768
0.8696 0.3768 0.3768
0.7500 0.7500 0.7500
```

Output
Space-group type: F-43m
Calculated volume in Å³ per cell: 83.8
D(E_F) in states/eV/f.u.: 9.943
Energy of formation in meV per atom: 209


[2]
VASP calculation (PBE) on a relaxed Pa2MnCr crystal.

Geometry as POSCAR:
```
Pa2MnCr
1.0
1.4991 0.8655 9.9325
-1.4991 0.8655 9.9325
0.0000 -1.7311 9.9325
Pa Mn Cr
2 1 1
direct
0.0869 0.0869 0.0869
0.9131 0.9131 0.9131
0.0000 0.0000 0.0000
0.5000 0.5000 0.5000
```

Output
Space-group type: R-3m
Calculated volume in Å³ per cell: 77.3
D(E_F) in states/eV/f.u.: 5.022
Energy of formation in meV per atom: 580


[3]
VASP calculation (PBE) on a relaxed Pa3Mn5Cr12 crystal.

Geometry as POSCAR:
```
Pa3Mn5Cr12
1.0
-6.9254 6.9254 6.9254
6.9254 -6.9254 6.9254
6.9254 6.9254 -6.9254
Pa Mn Cr
12 20 48
direct
0.1250 0.2500 0.3750
0.1250 0.3750 0.7500
0.2500 0.3750 0.1250
0.2500 0.8750 0.6250
0.3750 0.1250 0.2500
0.3750 0.7500 0.1250
0.6250 0.2500 0.8750
0.6250 0.8750 0.7500
0.7500 0.1250 0.3750
0.7500 0.6250 0.8750
0.8750 0.6250 0.2500
0.8750 0.7500 0.6250
0.0000 0.0000 0.0000
0.0000 0.0000 0.5000
0.0000 0.5000 0.0000
0.0000 0.5000 0.5000
0.1250 0.7500 0.8750
0.1250 0.8750 0.2500
0.2500 0.1250 0.8750
0.2500 0.6250 0.3750
0.3750 0.2500 0.6250
0.3750 0.6250 0.7500
0.5000 0.0000 0.0000
0.5000 0.0000 0.5000
0.5000 0.5000 0.0000
0.5000 0.5000 0.5000
0.6250 0.3750 0.2500
0.6250 0.7500 0.3750
0.7500 0.3750 0.6250
0.7500 0.8750 0.1250
0.8750 0.1250 0.7500
0.8750 0.2500 0.1250
0.0101 0.1982 0.0635
0.0101 0.3118 0.9466
0.0534 0.5635 0.3652
0.0534 0.9899 0.6882
0.0635 0.0101 0.1982
0.0635 0.5534 0.8652
0.1348 0.6982 0.6882
0.1348 0.9365 0.4466
0.1882 0.1982 0.6348
0.1882 0.4899 0.5534
0.1982 0.0635 0.0101
0.1982 0.6348 0.1882
0.3018 0.3118 0.8652
0.3018 0.4899 0.4365
0.3118 0.8652 0.3018
0.3118 0.9466 0.0101
0.3652 0.0534 0.5635
0.3652 0.8118 0.8018
0.4365 0.3018 0.4899
0.4365 0.6348 0.9466
0.4466 0.1348 0.9365
0.4466 0.8118 0.5101
0.4899 0.4365 0.3018
0.4899 0.5534 0.1882
0.5101 0.4466 0.8118
0.5101 0.5635 0.6982
0.5534 0.1882 0.4899
0.5534 0.8652 0.0635
0.5635 0.3652 0.0534
0.5635 0.6982 0.5101
0.6348 0.1882 0.1982
0.6348 0.9466 0.4365
0.6882 0.0534 0.9899
0.6882 0.1348 0.6982
0.6982 0.5101 0.5635
0.6982 0.6882 0.1348
0.8018 0.3652 0.8118
0.8018 0.9365 0.9899
0.8118 0.5101 0.4466
0.8118 0.8018 0.3652
0.8652 0.0635 0.5534
0.8652 0.3018 0.3118
0.9365 0.4466 0.1348
0.9365 0.9899 0.8018
0.9466 0.0101 0.3118
0.9466 0.4365 0.6348
0.9899 0.6882 0.0534
0.9899 0.8018 0.9365
```

Output
Space-group type: Ia-3d
Calculated volume in Å³ per cell: 1328.6
D(E_F) in states/eV/f.u.: 33.590
Energy of formation in meV per atom: 1102


[4]
VASP calculation (PBE) on a relaxed Pa2MnCrS5 crystal.

Geometry as POSCAR:
```
Pa2MnCrS5
1.0
1.8333 -7.6035 0.0000
1.8333 7.6035 0.0000
0.0000 0.0000 11.4097
Pa Mn Cr S
4 2 2 10
direct
0.1112 0.8888 0.5000
0.1312 0.8688 0.8530
0.8688 0.1312 0.3530
0.8888 0.1112 0.0000
0.4339 0.5661 0.5849
0.5661 0.4339 0.0849
0.1725 0.8275 0.1928
0.8275 0.1725 0.6928
0.0162 0.9838 0.1771
0.2978 0.7022 0.5145
0.3140 0.6860 0.8258
0.3337 0.6663 0.1742
0.4957 0.5043 0.4099
0.5043 0.4957 0.9099
0.6663 0.3337 0.6742
0.6860 0.3140 0.3258
0.7022 0.2978 0.0145
0.9838 0.0162 0.6771
```

Output
Space-group type: Cmc2_1
Calculated volume in Å³ per cell: 318.1
Formation energy (no corrections) in kJ/mol of formula units: -978
D(E_F) in states/eV/f.u.: 8.066


[5]
VASP calculation (PBE) on a relaxed PaMn2CrS6 crystal.

Geometry as POSCAR:
```
PaMn2CrS6
1.0
3.1813 1.8367 5.8388
-3.1813 1.8367 5.8388
0.0000 -3.6735 5.8388
Pa Mn Cr S
1 2 1 6
direct
0.0000 0.0000 0.0000
0.1908 0.1908 0.1908
0.6936 0.6936 0.6936
0.5026 0.5026 0.5026
0.1098 0.7634 0.4116
0.2914 0.5805 0.8906
0.4116 0.1098 0.7634
0.5805 0.8906 0.2914
0.7634 0.4116 0.1098
0.8906 0.2914 0.5805
```

Output
Space-group type: R3
Calculated volume in Å³ per cell: 204.7
Formation energy (no corrections) in kJ/mol of formula units: -839
D(E_F) in states/eV/f.u.: 0.092


[6]
VASP calculation (PBE) on a relaxed PaMnCr2S6 crystal.

Geometry as POSCAR:
```
PaMnCr2S6
1.0
3.1662 1.8280 5.7682
-3.1662 1.8280 5.7682
0.0000 -3.6560 5.7682
Pa Mn Cr S
1 1 2 6
direct
0.0000 0.0000 0.0000
0.4985 0.4985 0.4985
0.1908 0.1908 0.1908
0.6905 0.6905 0.6905
0.0832 0.7956 0.4272
0.3138 0.5637 0.9156
0.4272 0.0832 0.7956
0.5637 0.9156 0.3138
0.7956 0.4272 0.0832
0.9156 0.3138 0.5637
```

Output
Space-group type: R3
Calculated volume in Å³ per cell: 200.3
Formation energy (no corrections) in kJ/mol of formula units: -858
D(E_F) in states/eV/f.u.: 4.625


[7]
VASP calculation (PBE) on a relaxed PaMnCrSb crystal.

Geometry as POSCAR:
```
PaMnCrSb
1.0
0.0000 3.2507 3.2507
3.2507 0.0000 3.2507
3.2507 3.2507 0.0000
Pa Mn Cr Sb
1 1 1 1
direct
0.0000 0.0000 0.0000
0.2500 0.2500 0.2500
0.7500 0.7500 0.7500
0.5000 0.5000 0.5000
```

Output
Space-group type: F-43m
Calculated volume in Å³ per cell: 68.7
Formation energy (no corrections) in kJ/mol of formula units: 35
D(E_F) in states/eV/f.u.: 5.420


[8]
VASP calculation (PBE) on a relaxed ScPaMnCr crystal.

Geometry as POSCAR:
```
ScPaMnCr
1.0
0.0000 3.2489 3.2489
3.2489 0.0000 3.2489
3.2489 3.2489 0.0000
Sc Pa Mn Cr
1 1 1 1
direct
0.0000 0.0000 0.0000
0.5000 0.5000 0.5000
0.2500 0.2500 0.2500
0.7500 0.7500 0.7500
```

Output
Space-group type: F-43m
Calculated volume in Å³ per cell: 68.6
D(E_F) in states/eV/f.u.: 3.292
Energy of formation in meV per atom: 111


[9]
VASP calculation (PBE) on a relaxed PaMnCr2Se6 crystal.

Geometry as POSCAR:
```
PaMnCr2Se6
1.0
3.3201 1.9169 6.1053
-3.3201 1.9169 6.1053
0.0000 -3.8338 6.1053
Pa Mn Cr Se
1 1 2 6
direct
0.0000 0.0000 0.0000
0.4985 0.4985 0.4985
0.1844 0.1844 0.1844
0.6851 0.6851 0.6851
0.0831 0.7845 0.4278
0.3011 0.5650 0.9130
0.4278 0.0831 0.7845
0.5650 0.9130 0.3011
0.7845 0.4278 0.0831
0.9130 0.3011 0.5650
```

Output
Space-group type: R3
Calculated volume in Å³ per cell: 233.1
Formation energy (no corrections) in kJ/mol of formula units: -683
D(E_F) in states/eV/f.u.: 4.744


[10]
VASP calculation (PBE) on a relaxed PaMnCrTc crystal.

Geometry as POSCAR:
```
PaMnCrTc
1.0
0.0000 3.1589 3.1589
3.1589 0.0000 3.1589
3.1589 3.1589 0.0000
Pa Mn Cr Tc
1 1 1 1
direct
0.0000 0.0000 0.0000
0.2500 0.2500 0.2500
0.5000 0.5000 0.5000
0.7500 0.7500 0.7500
```

Output
Space-group type: F-43m
Calculated volume in Å³ per cell: 63.0
D(E_F) in states/eV/f.u.: 4.359
Energy of formation in meV per atom: 180


[11]
VASP calculation (PBE) on a relaxed PaTiMnCr crystal.

Geometry as POSCAR:
```
PaTiMnCr
1.0
0.0000 3.1629 3.1629
3.1629 0.0000 3.1629
3.1629 3.1629 0.0000
Pa Ti Mn Cr
1 1 1 1
direct
0.0000 0.0000 0.0000
0.5000 0.5000 0.5000
0.7500 0.7500 0.7500
0.2500 0.2500 0.2500
```

Output
Space-group type: F-43m
Calculated volume in Å³ per cell: 63.3
D(E_F) in states/eV/f.u.: 5.290
Energy of formation in meV per atom: 29


[12]
VASP calculation (PBE) on a relaxed MnCrPb crystal.

Geometry as POSCAR:
```
MnCrPb
1.0
3.1899 0.0000 0.0000
-1.5949 2.7625 0.0000
0.0000 0.0000 6.4643
Mn Cr Pb
1 1 1
direct
0.0000 0.0000 0.0000
0.3333 0.6667 0.7655
0.6667 0.3333 0.3796
```

Output
Space-group type: P3m1
Calculated volume in Å³ per cell: 57.0
D(E_F) in states/eV/f.u.: 2.672
Distance to the lowest polymorph of the same formula in eV/atom: 0.107
Energy of formation in meV per atom: 588